VASP calculation (GGA-PBEsol) on a relaxed ScNiSeN2 crystal.

Unit cell a=3.950 b=3.950 c=5.372 alpha=90.00 beta=90.00 gamma=90.00
Last column: magnetic moment on the atom in μB.
Fractional coordinates of all 5 atoms:
N1 0.000 0.500 0.000  0.56
N2 0.500 0.000 0.000  0.56
Se1 0.000 0.000 0.500  0.17
Ni1 0.500 0.500 0.500  0.97
Sc1 0.000 0.000 0.000  0.04

The value obtained for the raw formation energy is 952 meV per atom. Its space-group type is No. 123.